[1]
! ReTcPCl2 (PBE, optimized geometry); values from VASP
&SYSTEM
  ibrav = 0, nat = 5, ntyp = 4
/
ATOMIC_SPECIES
Re 186.21 Re.upf
Tc 98.00 Tc.upf
P 30.97 P.upf
Cl 35.45 Cl.upf
ATOMIC_POSITIONS angstrom
Re 0.000 0.000 0.000
Tc 2.432 2.432 2.309
P 0.000 0.000 2.309
Cl 0.000 2.432 0.000
Cl 2.432 0.000 0.000
CELL_PARAMETERS angstrom
4.864 0.000 0.000
0.000 4.864 0.000
0.000 0.000 4.619
! E: -5.294 eV per atom
! ΔE to the lowest computed polymorph: 0 meV per atom
! formation energy without anion corrections: 1.089 eV per atom



[2]
! Li5CuAg4 (PBE, optimized geometry); values from VASP
&SYSTEM
  ibrav = 0, nat = 10, ntyp = 3
/
ATOMIC_SPECIES
Li 6.94 Li.upf
Cu 63.55 Cu.upf
Ag 107.87 Ag.upf
ATOMIC_POSITIONS angstrom
Li 1.579 1.579 1.402
Li 1.579 1.579 4.573
Li 1.579 1.579 7.777
Li 1.579 1.579 10.980
Li 1.579 1.579 14.152
Cu 0.000 0.000 0.000
Ag 0.000 0.000 2.957
Ag 0.000 0.000 6.174
Ag 0.000 0.000 9.379
Ag 0.000 0.000 12.597
CELL_PARAMETERS angstrom
3.159 0.000 0.000
0.000 3.159 0.000
0.000 0.000 15.554
! E: -2.674 eV per atom
! ΔH_f (0 K): -3.851 kcal/mol of atoms